Rb2AlMoF6: relaxed, PBE with a Hubbard U.

Values from the calculation:
total magnetic moment	5.0	μB/f.u.
mass density	3.80	g/cm³
crystal system	tetragonal
electronic total energy	-50.6	eV per formula unit

Geometry as CIF:
```
data_Rb2AlMoF6
_cell_length_a 6.630
_cell_length_b 6.630
_cell_length_c 6.199
_cell_angle_alpha 57.67
_cell_angle_beta 57.67
_cell_angle_gamma 90.00
_space_group_name_H-M_alt 'P 1'
_space_group_IT_number 1
loop_
_space_group_symop_operation_xyz
'x,y,z'
loop_
_atom_site_label
_atom_site_type_symbol
_atom_site_fract_x
_atom_site_fract_y
_atom_site_fract_z
Al1 Al 0.500 0.500 0.000
F1 F 0.268 0.268 0.465
F2 F 0.694 0.694 0.000
F3 F 0.694 0.306 0.000
F4 F 0.306 0.694 0.000
F5 F 0.306 0.306 0.000
F6 F 0.732 0.732 0.535
Rb1 Rb 0.750 0.250 0.500
Rb2 Rb 0.250 0.750 0.500
Mo1 Mo 0.000 0.000 0.000
```